A geometry-optimized La4Pr3Th2 structure. Source: the Alexandria database, functional PBE.

Lattice parameters (Å, degrees): 11.657 5.995 9.319 90.00 102.53 90.00
Space group C2/m (No. 12)
Symmetry-distinct sites (fractional):
La: 0.163 0.000 0.022 (multiplicity 4)
La: 0.238 0.500 0.304 (multiplicity 4)
Pr: 0.000 0.500 0.000 (multiplicity 2)
Pr: 0.125 0.500 0.628 (multiplicity 4)
Th: 0.049 0.000 0.338 (multiplicity 4)

- total DFT energy (no corrections) (eV/atom) = -5.311
- M_tot (μB per cell) = 0.0
- Fermi-level density of states (states/eV/f.u.) = 14.88
- energy relative to the elements (eV per atom) = 0.121